Entry 1:
SmZrIr4 after structural relaxation. Source: the Alexandria database, functional PBE.

Lattice parameters (Å, degrees): 7.540 7.540 7.540 90.00 90.00 90.00
Space group F-43m (No. 216)
One atom of each set of equivalent atoms:
1 Sm 0.000 0.000 0.000
2 Zr 0.250 0.250 0.250
3 Ir 0.125 0.125 0.625

Properties
Total magnetization in μB/f.u.: 0.00
ΔH_f (0 K) in eV per atom: -0.67
E in eV per atom: -8.7909

---

Entry 2:
SmZr2Ir2 after structural relaxation. Source: the Alexandria database, functional PBE.

Lattice parameters (Å, degrees): 4.535 4.535 11.003 90.00 90.00 90.00
Space group I4/mmm (No. 139)
One atom of each set of equivalent atoms:
1 Sm 0.000 0.000 0.000
2 Zr 0.000 0.500 0.250
3 Ir 0.000 0.000 0.383

Properties
Total magnetization in μB/f.u.: 0.00
ΔH_f (0 K) in eV per atom: -0.74
E in eV per atom: -8.6521

---

Entry 3:
SmZr2Ir3 after structural relaxation. Source: the Alexandria database, functional PBE.

Lattice parameters (Å, degrees): 3.322 3.322 10.531 90.00 90.00 90.00
Space group P4/mmm (No. 123)
One atom of each set of equivalent atoms:
1 Sm 0.000 0.000 0.000
2 Zr 0.000 0.000 0.340
3 Ir 0.500 0.500 0.198
4 Ir 0.500 0.500 0.500

Properties
Total magnetization in μB/f.u.: 0.00
ΔH_f (0 K) in eV per atom: -0.76
E in eV per atom: -8.8241